Entry 1:
LaMg6Sn6 | PBE | optimized geometry

Cell: 6.329 9.469 10.943 Å, 90.00 90.00 90.00°
Space group Immm (No. 71)
One atom of each set of equivalent atoms:
La 0.000 0.000 0.000
Mg 0.000 0.221 0.500
Mg 0.250 0.250 0.250
Sn 0.000 0.000 0.309
Sn 0.000 0.347 0.000
Sn 0.000 0.500 0.355

N(E_F) ... 10.08 states/eV/cell
Total energy ... -3.19 eV per atom
Calculated volume ... 25.22 Å³ per atom


Entry 2:
SrHfHg | PBE | optimized geometry

Cell: 5.659 6.804 8.709 Å, 90.00 90.00 90.00°
Space group Imma (No. 74)
One atom of each set of equivalent atoms:
Sr 0.000 0.250 0.124
Hf 0.250 0.250 0.750
Hg 0.000 0.000 0.500

Energy above the lowest structure with this stoichiometry ... 0.009 eV per atom
N(E_F) ... 11.83 states/eV/cell
Total energy ... -3.98 eV per atom
Calculated volume ... 27.94 Å³ per atom


Entry 3:
Tm5Co2Au | PBE | optimized geometry

Cell: 7.332 7.332 13.263 Å, 90.00 90.00 90.00°
Space group I4/mcm (No. 140)
One atom of each set of equivalent atoms:
Tm 0.000 0.000 0.000
Tm 0.166 0.334 0.136
Co 0.129 0.371 0.500
Au 0.000 0.000 0.250

N(E_F) ... 27.51 states/eV/cell
Total energy ... -5.40 eV per atom
Calculated volume ... 22.28 Å³ per atom


| no. | calculated formation energy (eV per formula unit) | size of the total moment (μB/f.u.) |
| --- | --- | --- |
| 1 | -3.00 | 0.000 |
| 2 | -0.02 | 0.000 |
| 3 | -3.39 | 0.000 |